Record 1
# Gd2SnBi GGA-PBE relaxed
data_Gd2SnBi
_space_group_name_H-M_alt 'P 1'
_space_group_IT_number 1
_cell_length_a 4.348
_cell_length_b 4.348
_cell_length_c 8.162
_cell_angle_alpha 74.55
_cell_angle_beta 74.55
_cell_angle_gamma 60.00
loop_
_space_group_symop_operation_xyz
'x,y,z'
loop_
_atom_site_label
_atom_site_fract_x
_atom_site_fract_y
_atom_site_fract_z
Gd1 0.250 0.250 0.251
Gd2 0.750 0.750 0.749
Sn1 0.000 0.000 0.000
Bi1 0.500 0.500 0.500
# E_form   -707 meV/atom
# Excess energy over the best structure of this formula in the dataset   0 meV/atom
# Crystal system   trigonal



Record 2
# SbAs2Pd2 GGA-PBE relaxed
data_SbAs2Pd2
_space_group_name_H-M_alt 'P 1'
_space_group_IT_number 1
_cell_length_a 3.981
_cell_length_b 3.981
_cell_length_c 6.781
_cell_angle_alpha 72.93
_cell_angle_beta 72.93
_cell_angle_gamma 90.00
loop_
_space_group_symop_operation_xyz
'x,y,z'
loop_
_atom_site_label
_atom_site_fract_x
_atom_site_fract_y
_atom_site_fract_z
As1 0.750 0.250 0.500
Pd1 0.390 0.390 0.220
As2 0.250 0.750 0.500
Sb1 0.000 0.000 0.000
Pd2 0.610 0.610 0.780
# Excess energy over the best structure of this formula in the dataset   11 meV/atom
# Crystal system   tetragonal
# Uncorrected formation energy   -99 meV per atom



Question: What is the formula in the second record?
Answer: SbAs2Pd2



Question: Which of these has the highest excess energy over the best structure of this formula in the dataset?
Answer: SbAs2Pd2



Question: Which of these has the highest excess energy over the best structure of this formula in the dataset?
Answer: SbAs2Pd2



Question: Among the records above, which one has the lowest excess energy over the best structure of this formula in the dataset?
Answer: Gd2SnBi